Here is a relaxed InAs2Se crystal from the Alexandria database. Energies are from GGA-PBE.

Summary:
* magnetization: 0.0 Bohr magnetons per cell
* formation energy from raw total energies: 24.2 kJ/mol of atoms
* excess energy over the best structure of this formula in the dataset: 388 meV per atom

Cell lengths 3.4482, 4.8304, 5.1217 Å; angles 90.00, 90.00, 90.00 degrees
Closest atoms and distances in Å follow each position.
Space group Pmmm (No. 47)
One atom of each set of equivalent atoms:
1 In 0.0000 0.0000 0.0000 (multiplicity 1)  4 As 2.97, 4 Se 3.09
2 As 0.0000 0.5000 0.5000 (multiplicity 1)  4 Se 2.97, 4 As 3.09
3 As 0.5000 0.5000 0.0000 (multiplicity 1)  4 In 2.97, 4 As 3.09
4 Se 0.5000 0.0000 0.5000 (multiplicity 1)  4 As 2.97, 4 In 3.09